*i*
VASP calculation (GGA-PBE) on a relaxed structure of LaCrRu2.

**Total moment**: 0.46 μB/cell

Lattice parameters (Å, degrees): 3.044 3.021 8.026 67.79 90.00 90.00
Each line ends with the local moment (μB).
Sites, in units of the cell vectors:
Cr1 0.500 0.250 0.250  0.51
La1 0.500 0.750 0.750  0.01
Ru1 0.000 0.937 0.063  -0.05
Ru2 0.000 0.563 0.437  -0.05

***

*ii*
VASP calculation (GGA-PBE) on a relaxed structure of LaCrRu2.

**Total moment**: 0.01 μB/cell

Lattice parameters (Å, degrees): 3.720 2.870 6.958 76.44 90.00 90.00
Sites, in units of the cell vectors:
Cr1 0.000 0.598 0.410
La1 0.500 0.708 0.760
Ru1 0.000 0.900 0.055
Ru2 0.500 0.294 0.275

***

*iii*
VASP calculation (GGA-PBE) on a relaxed structure of LaCrRu2.

**Total moment**: 3.32 μB/cell

Lattice parameters (Å, degrees): 5.373 5.318 2.968 76.64 84.55 118.59
Each line ends with the local moment (μB).
Sites, in units of the cell vectors:
Cr1 0.000 0.500 0.500  3.06
La1 0.500 0.500 0.000  0.04
Ru1 0.000 0.000 0.000  -0.03
Ru2 0.500 0.000 0.500  -0.03

***

How far above the most stable structure does each one sit? In eV/atom: *i* 0.000; *ii* 0.220; *iii* 0.321.